First-principles (GGA-PBE) data for BaSrSb4 after structural relaxation, as listed in the Alexandria database.

## Properties
Its mass density is 5.59 Mg/m³. The density of states at the Fermi level comes out at 2.227 states/eV per cell. Its space-group type is P2/m, No. 10. The formation energy (no corrections) comes out at -0.611 eV per atom. As for the energy above the most stable polymorph in this dataset: 0.00 eV/f.u. The final energy is -3.960 eV/atom.

a = 5.9564 Å, b = 6.4772 Å, c = 6.4976 Å
α = 57.57°, β = 90.01°, γ = 89.98°
Last column: nearest neighbours and their distance in Å.
Fractional positions:
Ba: 0.0013 0.0027 0.5019  4 Sb 3.39-3.73
Sr: 0.5013 0.5027 0.0018  2 Sb 3.31
Sb: 0.5013 0.1897 0.7329  3 Sb 3.00-3.16, 1 Sr 3.31
Sb: 0.5013 0.8157 0.2708  3 Sb 3.00-3.16, 1 Sr 3.31
Sb: 0.0013 0.6773 0.2310  3 Sb 2.99-3.16
Sb: 0.0013 0.3281 0.7727  3 Sb 2.99-3.16

=====

First-principles (GGA-PBE) data for ZnSbRh after structural relaxation, as listed in the Alexandria database.

## Properties
Its mass density is 8.83 Mg/m³. The density of states at the Fermi level comes out at 1.088 states/eV per cell. Its space-group type is P-6m2, No. 187. The formation energy (no corrections) comes out at -0.053 eV per atom. The final energy is -4.302 eV/atom.

a = 4.3654 Å, b = 4.3654 Å, c = 3.3037 Å
α = 90.00°, β = 90.00°, γ = 120.00°
Last column: nearest neighbours and their distance in Å.
Fractional positions:
Rh: 0.0000 0.0000 0.8334  3 Zn 2.52
Sb: 0.3333 0.6667 0.3329  6 Zn 3.01-3.02, 6 Rh 3.01, 2 Sb 3.30
Zn: 0.6667 0.3333 0.8338  3 Rh 2.52

=====

First-principles (GGA-PBE) data for YZrTlPd after structural relaxation, as listed in the Alexandria database.

## Properties
Its mass density is 8.96 Mg/m³. The density of states at the Fermi level comes out at 4.533 states/eV per cell. Its space-group type is F-43m, No. 216. The final energy is -5.981 eV/atom. For the formation energy, the calculation gives -338 meV per atom.

a = 5.0487 Å, b = 5.0487 Å, c = 5.0487 Å
α = 60.00°, β = 60.00°, γ = 60.00°
Last column: nearest neighbours and their distance in Å.
Fractional positions:
Y: 0.5000 0.5000 0.5000  4 Pd 3.09, 4 Tl 3.09
Tl: 0.7500 0.7500 0.7500  4 Zr 3.09, 4 Y 3.09
Zr: 0.0000 0.0000 0.0000  4 Tl 3.09, 4 Pd 3.09
Pd: 0.2500 0.2500 0.2500  4 Zr 3.09, 4 Y 3.09

=====

First-principles (GGA-PBE) data for NdTcN after structural relaxation, as listed in the Alexandria database.

## Properties
Its mass density is 8.45 Mg/m³. The density of states at the Fermi level comes out at 2.623 states/eV per cell. Its space-group type is P3m1, No. 156. The formation energy (no corrections) comes out at -0.252 eV per atom. As for the energy above the most stable polymorph in this dataset: 0.34 eV/f.u. The final energy is -8.071 eV/atom.

a = 5.0647 Å, b = 3.3875 Å, c = 3.3875 Å
α = 120.00°, β = 90.00°, γ = 90.00°
Last column: nearest neighbours and their distance in Å.
Fractional positions:
Nd: 0.7410 0.6667 0.3333  3 N 2.54
Tc: 0.1993 0.3333 0.6667  3 N 2.08
N: 0.0597 0.0000 0.0000  3 Tc 2.08

=====

First-principles (GGA-PBE) data for UCu2I8 after structural relaxation, as listed in the Alexandria database.

## Properties
Its mass density is 4.61 Mg/m³. The density of states at the Fermi level comes out at 1.545 states/eV per cell. Its space-group type is C2/m, No. 12. The formation energy (no corrections) comes out at -0.449 eV per atom. As for the energy above the most stable polymorph in this dataset: 0.00 eV/f.u. The final energy is -3.348 eV/atom.

a = 6.9259 Å, b = 8.5477 Å, c = 8.5477 Å
α = 93.09°, β = 82.84°, γ = 82.84°
Last column: nearest neighbours and their distance in Å.
Fractional positions:
I: 0.7937 0.0664 0.7219  1 Cu 2.59
I: 0.2063 0.2781 0.9336  1 Cu 2.59
I: 0.6846 0.2093 0.2093  1 Cu 2.68, 1 U 2.98
I: 0.3154 0.7907 0.7907  1 Cu 2.68, 1 U 2.98
I: 0.7937 0.7219 0.0664  1 Cu 2.59
I: 0.2063 0.9336 0.2781  1 Cu 2.59
I: 0.2173 0.4294 0.4294  1 Cu 2.56
I: 0.7827 0.5706 0.5706  1 Cu 2.56
U: 0.0000 0.0000 0.0000  6 I 2.97-2.98
Cu: 0.2975 0.2080 0.2080  4 I 2.56-2.68
Cu: 0.7025 0.7920 0.7920  4 I 2.56-2.68

=====

First-principles (GGA-PBE) data for TcNiPCl2 after structural relaxation, as listed in the Alexandria database.

## Properties
Its mass density is 3.98 Mg/m³. The density of states at the Fermi level comes out at 16.053 states/eV per cell. Its space-group type is P4/mmm, No. 123. The formation energy (no corrections) comes out at 0.705 eV per atom. As for the energy above the most stable polymorph in this dataset: 0.18 eV/f.u. The final energy is -4.345 eV/atom.

a = 4.8588 Å, b = 4.8588 Å, c = 4.5730 Å
α = 90.00°, β = 90.00°, γ = 90.00°
Last column: nearest neighbours and their distance in Å.
Fractional positions:
Ni: 0.5000 0.5000 0.5000  8 Cl 3.34, 4 P 3.44
Tc: 0.0000 0.0000 0.0000  2 P 2.29, 4 Cl 2.43
P: 0.0000 0.0000 0.5000  2 Tc 2.29
Cl: 0.0000 0.5000 0.0000  2 Tc 2.43
Cl: 0.5000 0.0000 0.0000  2 Tc 2.43

=====

First-principles (GGA-PBE) data for Ca5P after structural relaxation, as listed in the Alexandria database.

## Properties
Its mass density is 1.83 Mg/m³. The density of states at the Fermi level comes out at 5.953 states/eV per cell. Its space-group type is C2/m, No. 12. As for the energy above the most stable polymorph in this dataset: 0.00 eV/f.u. The final energy is -2.914 eV/atom. For the formation energy, the calculation gives -345 meV per atom.

a = 6.8650 Å, b = 6.8650 Å, c = 9.4660 Å
α = 64.25°, β = 64.25°, γ = 31.75°
Last column: nearest neighbours and their distance in Å.
Fractional positions:
Ca: 0.9201 0.9201 0.0010  2 P 2.90
Ca: 0.3055 0.3055 0.3889  12 Ca 3.76-4.19
Ca: 0.6911 0.6911 0.7768  2 P 2.90
Ca: 0.6346 0.6346 0.1628  2 P 3.17, 2 Ca 3.37-3.38
Ca: 0.9765 0.9765 0.6150  2 P 3.17, 2 Ca 3.37-3.38
P: 0.3055 0.3055 0.8889  8 Ca 2.90-3.17

=====

First-principles (GGA-PBE) data for Ta2ReBr after structural relaxation, as listed in the Alexandria database.

## Properties
Its mass density is 14.00 Mg/m³. The density of states at the Fermi level comes out at 5.277 states/eV per cell. Its space-group type is R-3m, No. 166. The formation energy (no corrections) comes out at 0.316 eV per atom. As for the energy above the most stable polymorph in this dataset: 0.55 eV/f.u. The final energy is -9.141 eV/atom.

a = 8.6969 Å, b = 8.6969 Å, c = 8.6969 Å
α = 21.08°, β = 21.08°, γ = 21.08°
Last column: nearest neighbours and their distance in Å.
Fractional positions:
Re: 0.7500 0.7500 0.7500  6 Ta 2.66
Br: 0.2500 0.2500 0.2500  6 Ta 2.96, 6 Br 3.18
Ta: 0.0078 0.0078 0.0078  3 Re 2.66, 3 Br 2.96
Ta: 0.4922 0.4922 0.4922  3 Re 2.66, 3 Br 2.96

=====

First-principles (GGA-PBE) data for MgInSi after structural relaxation, as listed in the Alexandria database.

## Properties
Its mass density is 4.43 Mg/m³. The density of states at the Fermi level comes out at 1.241 states/eV per cell. Its space-group type is Imm2, No. 44. The formation energy (no corrections) comes out at 0.180 eV per atom. The final energy is -3.072 eV/atom.

a = 5.5752 Å, b = 5.5752 Å, c = 5.5752 Å
α = 146.51°, β = 138.67°, γ = 54.20°
Last column: nearest neighbours and their distance in Å.
Fractional positions:
In: 0.0065 0.0065 0.0000  5 Si 3.05-3.27, 5 Mg 3.07-3.17, 2 In 3.21
Mg: 0.3159 0.3159 0.0000  4 Si 2.89, 5 In 3.07-3.17, 2 Mg 3.21
Si: 0.6776 0.6776 0.0000  4 Mg 2.89, 4 In 3.05, 2 Si 3.21

=====

First-principles (GGA-PBE) data for PrY4Al4 after structural relaxation, as listed in the Alexandria database.

## Properties
Its mass density is 3.99 Mg/m³. The density of states at the Fermi level comes out at 15.230 states/eV per cell. Its space-group type is I4/m, No. 87. The final energy is -5.254 eV/atom. For the formation energy, the calculation gives -186 meV per atom.

a = 5.1115 Å, b = 9.9246 Å, c = 9.9246 Å
α = 90.00°, β = 90.00°, γ = 90.00°
Last column: nearest neighbours and their distance in Å.
Fractional positions:
Pr: 0.0000 0.0000 0.0000  8 Al 3.19
Pr: 0.5000 0.5000 0.5000  8 Al 3.19
Y: 0.4999 0.3844 0.8525  4 Al 3.02-3.12
Y: 0.9999 0.6475 0.8844  4 Al 3.02-3.12
Y: 0.4999 0.6156 0.1475  4 Al 3.02-3.12
Y: 0.0001 0.1156 0.6475  4 Al 3.02-3.12
Y: 0.5001 0.8525 0.6156  4 Al 3.02-3.12
Y: 0.0001 0.8844 0.3525  4 Al 3.02-3.12
Y: 0.9999 0.3525 0.1156  4 Al 3.02-3.12
Y: 0.5001 0.1475 0.3844  4 Al 3.02-3.12
Al: 0.5001 0.9243 0.1769  2 Al 2.70
Al: 0.5001 0.0757 0.8231  2 Al 2.70
Al: 0.0001 0.6769 0.5757  2 Al 2.70
Al: 0.9999 0.4243 0.6769  2 Al 2.70
Al: 0.9999 0.5757 0.3231  2 Al 2.70
Al: 0.4999 0.1769 0.0757  2 Al 2.70
Al: 0.4999 0.8231 0.9243  2 Al 2.70
Al: 0.0001 0.3231 0.4243  2 Al 2.70

=====

First-principles (GGA-PBE) data for SrCu3Os after structural relaxation, as listed in the Alexandria database.

## Properties
Its mass density is 7.30 Mg/m³. The density of states at the Fermi level comes out at 2.012 states/eV per cell. Its space-group type is Pm-3m, No. 221. As for the energy above the most stable polymorph in this dataset: 8.72 eV/f.u. The final energy is -2.730 eV/atom. For the formation energy, the calculation gives 2310 meV per atom.

a = 4.7421 Å, b = 4.7421 Å, c = 4.7421 Å
α = 90.00°, β = 90.00°, γ = 90.00°
Last column: nearest neighbours and their distance in Å.
Fractional positions:
Sr: 0.0000 0.0000 0.0000  6 Cu 2.37
Os: 0.5000 0.5000 0.5000  12 Cu 3.35
Cu: 0.0000 0.5000 0.0000  2 Sr 2.37
Cu: 0.0000 0.0000 0.5000  2 Sr 2.37
Cu: 0.5000 0.0000 0.0000  2 Sr 2.37

=====

First-principles (GGA-PBE) data for ZnInCl3 after structural relaxation, as listed in the Alexandria database.

## Properties
Its mass density is 3.25 Mg/m³. The density of states at the Fermi level comes out at 0.000 states/eV per cell. Its space-group type is P2_1/m, No. 11. The formation energy (no corrections) comes out at -0.972 eV per atom. As for the energy above the most stable polymorph in this dataset: 0.26 eV/f.u. The final energy is -2.883 eV/atom.

a = 7.0422 Å, b = 6.7484 Å, c = 6.8432 Å
α = 90.00°, β = 64.09°, γ = 90.00°
Last column: nearest neighbours and their distance in Å.
Fractional positions:
Zn: 0.0469 0.2500 0.0541  5 Cl 2.30-2.47
Zn: 0.9531 0.7500 0.9459  5 Cl 2.30-2.47
Cl: 0.7587 0.4956 0.1992  2 Zn 2.40-2.47
Cl: 0.2413 0.5044 0.8008  2 Zn 2.40-2.47
Cl: 0.7587 0.0044 0.1992  2 Zn 2.40-2.47
Cl: 0.2413 0.9956 0.8008  2 Zn 2.40-2.47
Cl: 0.1686 0.2500 0.3154  1 Zn 2.30
Cl: 0.8314 0.7500 0.6846  1 Zn 2.30
In: 0.7122 0.2500 0.6452  3 Cl 3.01-3.36
In: 0.2878 0.7500 0.3548  3 Cl 3.01-3.36